A geometry-optimized Sm4ErTm3Se8 structure, computed with PBE.

Formation energy (no corrections), eV/atom: -1.7460
Space-group type: R-3m (166)
Fermi-level density of states, states/eV/cell: 8.8

Lattice parameters (Å, degrees): 8.101 8.298 8.102 119.22 120.00 90.00
Fractional coordinates of all 16 atoms:
Tm: 0.500 0.500 0.500
Sm: 0.000 0.000 0.000
Se: 0.744 0.735 0.989
Se: 0.245 0.735 0.491
Sm: 0.500 0.000 0.000
Se: 0.255 0.266 0.511
Tm: 0.000 0.500 0.500
Sm: 0.500 0.000 0.500
Se: 0.745 0.734 0.489
Tm: 0.500 0.500 0.000
Er: 0.000 0.500 0.000
Sm: 0.000 0.000 0.500
Se: 0.755 0.265 0.509
Se: 0.245 0.735 0.989
Se: 0.755 0.265 0.011
Se: 0.256 0.265 0.011